CaAl2Re | GGA-PBE | relaxed

POSCAR file:
```
CaAl2Re
1.0
-3.214 -4.093 -0.897
1.723 -4.574 2.001
-0.641 4.884 1.903
Re Ca Al
1 1 2
Direct
0.750 0.250 0.500
0.500 0.500 0.000
0.000 0.000 0.000
0.250 0.750 0.500
```

Computed properties:
N(E_F) (states/eV/atom): 0.49
Energy (eV/atom): -5.1569
E above lowest polymorph (eV/f.u.): 1.70
Space-group type: I-4m2 (119)
Formation energy (meV per atom): 327
ρ (g cm⁻³): 6.36

HgSbTe2Mo | GGA-PBE | relaxed

POSCAR file:
```
HgSbTe2Mo
1.0
-3.330 3.213 3.584
2.503 -2.148 4.251
3.970 4.298 -0.165
Sb Mo Te Hg
1 1 2 1
Direct
0.000 0.000 0.000
0.000 0.500 0.000
0.000 0.000 0.500
0.500 0.000 0.000
0.500 0.500 0.500
```

Computed properties:
N(E_F) (states/eV/atom): 1.08
Energy (eV/atom): -3.3033
Formation energy (no corrections) (eV/atom): 1.00
E above lowest polymorph (eV/f.u.): 3.12
Space-group type: P4/mmm (123)
ρ (g cm⁻³): 6.07

Sr3Si2Ag | GGA-PBE | relaxed

POSCAR file:
```
Sr3Si2Ag
1.0
-2.192 -0.140 5.863
5.172 -10.077 1.693
9.454 4.871 0.114
Sr Si Ag
12 8 4
Direct
0.250 0.898 0.972
0.250 0.398 0.528
0.750 0.102 0.028
0.750 0.602 0.472
0.305 0.537 0.103
0.195 0.037 0.397
0.695 0.463 0.897
0.805 0.963 0.603
0.825 0.769 0.156
0.675 0.269 0.344
0.175 0.231 0.844
0.325 0.731 0.656
0.602 0.993 0.275
0.898 0.493 0.225
0.398 0.007 0.725
0.102 0.507 0.775
0.200 0.628 0.365
0.300 0.128 0.135
0.800 0.372 0.635
0.700 0.872 0.865
0.396 0.800 0.294
0.104 0.300 0.206
0.604 0.200 0.706
0.896 0.700 0.794
```

Computed properties:
N(E_F) (states/eV/atom): 0.49
Energy (eV/atom): -3.4533
Formation energy (no corrections) (eV/atom): -0.33
Space-group type: P2_1/c (14)
ρ (g cm⁻³): 3.91

CaHg2Pd2 | GGA-PBE | relaxed

POSCAR file:
```
CaHg2Pd2
1.0
-3.414 0.838 3.982
-2.027 -5.246 -4.176
5.995 -1.031 5.356
Ca Hg Pd
2 4 4
Direct
0.836 0.000 0.250
0.164 0.000 0.750
0.130 0.605 0.226
0.475 0.605 0.726
0.525 0.395 0.274
0.870 0.395 0.774
0.269 0.872 0.043
0.603 0.872 0.543
0.731 0.128 0.957
0.397 0.128 0.457
```

Computed properties:
N(E_F) (states/eV/atom): 0.37
Energy (eV/atom): -3.0075
E above lowest polymorph (eV/f.u.): 0.00
Space-group type: C2/c (15)
Formation energy (meV per atom): -409
ρ (g cm⁻³): 9.35

TaNiPbSe3 | GGA-PBE | relaxed

POSCAR file:
```
TaNiPbSe3
1.0
-1.641 -2.150 -2.223
7.267 0.693 -6.036
0.454 -7.003 6.438
Ta Ni Pb Se
2 2 2 6
Direct
0.250 0.701 0.178
0.750 0.299 0.822
0.250 0.085 0.610
0.750 0.915 0.390
0.250 0.226 0.234
0.750 0.774 0.766
0.750 0.874 0.122
0.250 0.126 0.878
0.250 0.796 0.472
0.750 0.204 0.528
0.750 0.477 0.144
0.250 0.523 0.856
```

Computed properties:
N(E_F) (states/eV/atom): 0.45
Energy (eV/atom): -5.7677
Formation energy (no corrections) (eV/atom): -0.47
Space-group type: P2_1/m (11)
ρ (g cm⁻³): 8.04

Ac2NdIr | GGA-PBE | relaxed

POSCAR file:
```
Ac2NdIr
1.0
-0.859 -0.435 4.120
-2.432 -3.198 1.328
6.830 -6.798 2.879
Ac Nd Ir
2 1 1
Direct
0.057 0.057 0.829
0.276 0.276 0.172
0.500 0.500 0.499
0.666 0.666 0.001
```

Computed properties:
N(E_F) (states/eV/atom): 1.21
Energy (eV/atom): -5.7433
E above lowest polymorph (eV/f.u.): 0.47
Space-group type: R3m (160)
Formation energy (meV per atom): -282
ρ (g cm⁻³): 8.68

- The lowest ρ belongs to which entry?
  Sr3Si2Ag